The following is a DFT calculation (PBE) of a relaxed structure of DyTaNi.

E_tot (eV per atom): -6.960
Total magnetic moment (μB per formula unit): 0.6

a b c (Å): 4.439 4.439 4.439
angles (deg): 60.00 60.00 60.00
Fractional coordinates of all 3 atoms:
1 Dy 0.000 0.000 0.000
2 Ta 0.500 0.500 0.500
3 Ni 0.250 0.250 0.250